TaBe2Si | PBE | optimized geometry

Structure (POSCAR):
```
TaBe2Si
1.0
2.958 0.000 0.000
0.000 2.958 0.000
0.000 0.000 5.545
Be Ta Si
2 1 1
Direct
0.000 0.000 0.046
0.000 0.000 0.454
0.500 0.500 0.750
0.500 0.500 0.250
```

Results
N(E_F) = 0.323 states/eV per atom
ΔE_f (raw) = 0.0720 eV per atom
Total moment = 0.000 μB/f.u.
Space group = P4/mmm, No. 123
Calculated density = 7.8 g/cm³